Here is an optimized crystal structure of CrMo2Se from Alexandria. Energies are from PBE-GGA.

Computed properties:
DFT total energy = -0.30852 hartree per atom
E_form (uncorrected) = 297 meV per atom
M_tot = 1.0 μB per formula unit

a = 3.016 Å, b = 4.060 Å, c = 4.990 Å
α = 90.00°, β = 90.00°, γ = 90.00°
Sites, in units of the cell vectors:
Mo1 0.000 0.000 0.998
Se1 0.000 0.000 0.503
Mo2 0.500 0.500 0.244
Cr1 0.500 0.500 0.754